Entry 1:
DFT (PBE-GGA) results for a geometry-optimized SmTm2VN4 structure.

Geometry as CIF:
```
data_SmTm2VN4
_symmetry_space_group_name_H-M 'P 1'
_symmetry_Int_Tables_number 1
_cell_length_a 6.014
_cell_length_b 6.014
_cell_length_c 11.607
_cell_angle_alpha 90.00
_cell_angle_beta 90.00
_cell_angle_gamma 147.74
loop_
_symmetry_equiv_pos_as_xyz
'x,y,z'
loop_
_atom_site_label
_atom_site_fract_x
_atom_site_fract_y
_atom_site_fract_z
Sm1 0.087 0.913 0.750
Sm2 0.913 0.087 0.250
Tm1 0.371 0.629 0.542
Tm2 0.371 0.629 0.958
Tm3 0.629 0.371 0.042
Tm4 0.629 0.371 0.458
V1 0.173 0.827 0.250
V2 0.827 0.173 0.750
N1 0.000 0.000 0.000
N2 0.000 0.000 0.500
N3 0.264 0.736 0.123
N4 0.264 0.736 0.377
N5 0.427 0.573 0.750
N6 0.573 0.427 0.250
N7 0.736 0.264 0.623
N8 0.736 0.264 0.877
```

Properties
Its uncorrected formation energy is -1.420 eV/atom. The space group is Cmcm. The calculation puts the total energy at -134.9 eV for the cell shown.



Entry 2:
DFT (PBE-GGA) results for a geometry-optimized KTaW2 structure.

Geometry as CIF:
```
data_KTaW2
_symmetry_space_group_name_H-M 'P 1'
_symmetry_Int_Tables_number 1
_cell_length_a 4.758
_cell_length_b 4.758
_cell_length_c 4.758
_cell_angle_alpha 60.00
_cell_angle_beta 60.00
_cell_angle_gamma 60.00
loop_
_symmetry_equiv_pos_as_xyz
'x,y,z'
loop_
_atom_site_label
_atom_site_fract_x
_atom_site_fract_y
_atom_site_fract_z
K1 0.000 0.000 0.000
Ta1 0.500 0.500 0.500
W1 0.250 0.250 0.250
W2 0.750 0.750 0.750
```

Properties
The calculation puts the energy relative to the elements at 1.733 eV per atom. The space group is Fm-3m. The calculation puts the total energy at -31.9 eV for the cell shown.